{
  "formula": "Cu2Ag3",
  "functional": "GGA-PBE",
  "state": "optimized geometry",
  "energy_ev_per_atom": -3.106,
  "relative_energy_mev_per_atom": 43,
  "ef_ev_per_atom": 0.0757,
  "lattice": [[2.856, 0.000, 0.000], [0.000, 3.695, 0.000], [0.000, 0.000, 14.774]],
  "species": ["Ag", "Ag", "Ag", "Ag", "Ag", "Ag", "Cu", "Cu", "Cu", "Cu"],
  "frac_coords": [[0.500, 0.500, 0.074], [0.000, 0.000, 0.186], [0.500, 0.500, 0.297], [0.000, 0.000, 0.409], [0.500, 0.500, 0.521], [0.500, 0.500, 0.714], [0.000, 0.000, 0.618], [0.000, 0.000, 0.810], [0.500, 0.500, 0.894], [0.000, 0.000, 0.977]]
}

{
  "formula": "MgNbBOs",
  "functional": "GGA-PBE",
  "state": "optimized geometry",
  "energy_ev_per_atom": -6.757,
  "relative_energy_mev_per_atom": 297,
  "lattice": [[0.000, 2.999, 2.999], [2.999, 0.000, 2.999], [2.999, 2.999, 0.000]],
  "species": ["B", "Mg", "Nb", "Os"],
  "frac_coords": [[0.250, 0.250, 0.250], [0.750, 0.750, 0.750], [0.500, 0.500, 0.500], [0.000, 0.000, 0.000]]
}

{
  "formula": "Sr2LiTcSe6",
  "functional": "GGA-PBE",
  "state": "optimized geometry",
  "energy_ev_per_atom": -4.579,
  "relative_energy_mev_per_atom": 0,
  "lattice": [[-3.741, 6.032, 0.596], [-5.019, 1.970, 4.656], [7.891, -0.731, 1.752]],
  "species": ["Li", "Se", "Se", "Se", "Se", "Se", "Se", "Sr", "Sr", "Tc"],
  "frac_coords": [[0.000, 0.000, 0.000], [0.257, 0.257, 0.157], [0.819, 0.295, 0.322], [0.295, 0.819, 0.322], [0.705, 0.181, 0.678], [0.181, 0.705, 0.678], [0.743, 0.743, 0.843], [0.747, 0.747, 0.230], [0.253, 0.253, 0.770], [0.500, 0.500, 0.500]]
}